Record 1
Computed, not measured: CsReS2 after structural relaxation at the PBE-GGA level of DFT.

Cell: 10.6440 10.6436 15.7795 Å, 90.00 99.83 90.00°
Space group C2/c (No. 15)
Asymmetric unit:
Cs  0.0446  0.1845  0.4128 [8 per cell]
Cs  0.2129  0.4402  0.0899 [8 per cell]
Re  0.0908  0.2085  0.6922 [8 per cell]
Re  0.1197  0.4189  0.8084 [8 per cell]
S  0.0000  0.0428  0.7500 [4 per cell]
S  0.0000  0.4154  0.2500 [4 per cell]
S  0.0396  0.3145  0.9124 [8 per cell]
S  0.2171  0.0639  0.6194 [8 per cell]
S  0.2287  0.1876  0.2483 [8 per cell]

Fermi-level density of states = 46.033 states/eV/cell
E above lowest polymorph = 0 meV per atom
Total moment = 0.0 μB per formula unit
E_form (uncorrected) = -564 meV per atom
Total energy = -5.95 eV per atom



Record 2
Computed, not measured: LiNp3Ta3N8 after structural relaxation at the PBE-GGA level of DFT.

Cell: 6.2731 6.2731 16.1616 Å, 90.00 90.00 120.00°
Space group R-3m (No. 166, hexagonal axes)
Asymmetric unit:
Li  0.0000  0.0000  0.0000 [3 per cell]
Np  0.0000  0.5000  0.5000 [9 per cell]
Ta  0.0000  0.5000  0.0000 [9 per cell]
N  0.0000  0.0000  0.2606 [6 per cell]
N  0.0053  0.5027  0.2575 [18 per cell]

Fermi-level density of states = 41.901 states/eV/cell
Total moment = 8.4 μB per formula unit
E_form (uncorrected) = -1069 meV per atom
Total energy = -10.59 eV per atom



Record 3
Computed, not measured: ZrSc2Mn after structural relaxation at the PBE-GGA level of DFT.

Cell: 4.2773 4.3223 4.5233 Å, 90.00 90.00 90.00°
Space group Pmmm (No. 47)
Asymmetric unit:
Zr  0.0000  0.0000  0.0000 [1 per cell]
Sc  0.0000  0.5000  0.5000 [1 per cell]
Sc  0.5000  0.0000  0.5000 [1 per cell]
Mn  0.5000  0.5000  0.0000 [1 per cell]

Calculated formation energy = 12.8 kJ/mol of atoms
Fermi-level density of states = 5.656 states/eV/cell
E above lowest polymorph = 101 meV per atom
Total moment = 2.0 μB per formula unit
Total energy = -7.46 eV per atom



Record 4
Computed, not measured: La2Al3GaCu12 after structural relaxation at the PBE-GGA level of DFT.

Cell: 6.1577 6.1577 27.6776 Å, 90.00 90.00 120.00°
Space group R-3m (No. 166, hexagonal axes)
Asymmetric unit:
La  0.0000  0.0000  0.1520 [6 per cell]
Al  0.0000  0.5000  0.0000 [9 per cell]
Ga  0.0000  0.0000  0.5000 [3 per cell]
Cu  0.0508  0.5254  0.0950 [18 per cell]
Cu  0.0719  0.5360  0.6173 [18 per cell]

Calculated formation energy = 3.3 kJ/mol of atoms
Fermi-level density of states = 20.490 states/eV/cell
Total moment = 0.0 μB per formula unit
Total energy = -4.04 eV per atom



Record 5
Computed, not measured: Sc2TiCd2 after structural relaxation at the PBE-GGA level of DFT.

Cell: 8.0082 8.0082 3.4682 Å, 90.00 90.00 90.00°
Space group P4/mbm (No. 127)
Asymmetric unit:
Sc  0.1735  0.3265  0.0000 [4 per cell]
Ti  0.0000  0.0000  0.5000 [2 per cell]
Cd  0.1283  0.6283  0.5000 [4 per cell]

Calculated formation energy = 2.9 kJ/mol of atoms
Fermi-level density of states = 11.690 states/eV/cell
E above lowest polymorph = 0 meV per atom
Total moment = 1.9 μB per formula unit
Total energy = -4.45 eV per atom



Record 6
Computed, not measured: Ag2Au after structural relaxation at the PBE-GGA level of DFT.

Cell: 2.9211 4.1589 8.8455 Å, 90.00 90.00 90.00°
Space group Immm (No. 71)
Asymmetric unit:
Ag  0.0000  0.0000  0.1669 [4 per cell]
Au  0.0000  0.0000  0.5000 [2 per cell]

Calculated formation energy = -3.6 kJ/mol of atoms
Fermi-level density of states = 1.235 states/eV/cell
E above lowest polymorph = 0 meV per atom
Total moment = 0.0 μB per formula unit
Total energy = -3.03 eV per atom



Record 7
Computed, not measured: ZrWCl2 after structural relaxation at the PBE-GGA level of DFT.

Cell: 3.5602 3.5602 7.4119 Å, 90.00 90.00 90.00°
Space group P4mm (No. 99)
Asymmetric unit:
Zr  0.0000  0.0000  0.0000 [1 per cell]
W  0.5000  0.5000  0.8502 [1 per cell]
Cl  0.0000  0.0000  0.6222 [1 per cell]
Cl  0.5000  0.5000  0.1983 [1 per cell]

Fermi-level density of states = 0.572 states/eV/cell
E above lowest polymorph = 506 meV per atom
Total moment = 0.0 μB per formula unit
E_form (uncorrected) = 0 meV per atom
Total energy = -6.30 eV per atom



Record 8
Computed, not measured: Pm2MgP4Rh3 after structural relaxation at the PBE-GGA level of DFT.

Cell: 4.1834 4.1834 9.8845 Å, 90.00 90.00 90.00°
Space group P-4m2 (No. 115)
Asymmetric unit:
Pm  0.0000  0.5000  0.2334 [2 per cell]
Mg  0.0000  0.0000  0.5000 [1 per cell]
P  0.0000  0.0000  0.0000 [1 per cell]
P  0.0000  0.5000  0.6490 [2 per cell]
P  0.5000  0.5000  0.0000 [1 per cell]
Rh  0.0000  0.5000  0.8921 [2 per cell]
Rh  0.5000  0.5000  0.5000 [1 per cell]

Calculated formation energy = -99.6 kJ/mol of atoms
Fermi-level density of states = 3.792 states/eV/cell
Total moment = 0.0 μB per formula unit
Total energy = -6.51 eV per atom



Question: Fermi-level density of states of number 1 (CsReS2)?
Answer: 46.033 states/eV/cell